Here is crystalline LaMg2Se at its relaxed geometry from Alexandria via LeMat-Bulk. Energies are from GGA-PBE.

Unit cell a=8.6876 b=8.6876 c=6.8293 alpha=50.50 beta=50.50 gamma=90.00
With the nearest neighbours (Å) after each atom.
Element x y z (fractional)
1 Mg 0.5670 0.1250 0.2500  2 Se 2.84, 2 Mg 3.15
2 Mg 0.1830 0.6250 0.2500  2 Se 2.84, 2 Mg 3.15
3 Mg 0.3750 0.4330 0.7500  2 Se 2.84, 2 Mg 3.15
4 Mg 0.8750 0.8170 0.7500  2 Se 2.84, 2 Mg 3.15
5 Se 0.5000 0.5000 0.0000  4 Mg 2.84, 2 La 2.98
6 Se 0.2500 0.7500 0.5000  4 Mg 2.84, 2 La 2.98
7 La 0.0000 0.0000 0.0000  2 Se 2.98
8 La 0.7500 0.2500 0.5000  2 Se 2.98

The space group is I-42d, No. 122. The total energy comes out at -3.46 eV per atom. Its volume is 28.15 Å³ per atom. Its raw formation energy is -0.555 eV/atom. The magnetization is 0.001 μB/atom.